This record from the Alexandria database describes an optimized crystal structure of NdDyZnAu. The functional is PBE.

Output
Theoretical density = 9789 kg/m3
Total energy = -4.053 eV/atom
V = 97 Å³ per cell

extended XYZ file:
```
4
Lattice="3.653 0.000 0.000 0.000 3.653 0.000 0.000 0.000 7.235" Properties=species:S:1:pos:R:3 pbc="T T T"
Nd 0.000 0.000 0.000
Dy 0.000 0.000 3.587
Zn 1.826 1.826 1.890
Au 1.826 1.826 5.228
```